# 1
Entry from Alexandria via LeMat-Bulk: crystalline HfAl2Mo2 at its relaxed geometry (GGA-PBEsol).

Summary:
The calculation puts the formation energy at -20.9 kJ/mol of atoms. The final energy comes out at -8.6609 eV/atom. Its space group is P4/mbm, No. 127. For the theoretical density, the calculation gives 8.771 g/cm3.

Cell and atoms, written as CIF:
```
data_HfAl2Mo2
_cell_length_a 6.913
_cell_length_b 6.913
_cell_length_c 3.362
_cell_angle_alpha 90.00
_cell_angle_beta 90.00
_cell_angle_gamma 90.00
_space_group_name_H-M_alt 'P 1'
_space_group_IT_number 1
loop_
_space_group_symop_operation_xyz
'x,y,z'
loop_
_atom_site_label
_atom_site_fract_x
_atom_site_fract_y
_atom_site_fract_z
Hf1 0.000 0.000 0.000
Hf2 0.500 0.500 0.000
Al1 0.125 0.375 0.000
Al2 0.375 0.875 0.000
Al3 0.625 0.125 0.000
Al4 0.875 0.625 0.000
Mo1 0.173 0.673 0.500
Mo2 0.327 0.173 0.500
Mo3 0.673 0.827 0.500
Mo4 0.827 0.327 0.500
```

***

# 2
Entry from Alexandria via LeMat-Bulk: crystalline Zn2CdTc at its relaxed geometry (GGA-PBEsol).

Summary:
The calculation puts the formation energy at 24.7 kJ/mol of atoms. The final energy comes out at -3.6505 eV/atom. Its space group is Cmm2, No. 35. For the theoretical density, the calculation gives 9.218 g/cm3.

Cell and atoms, written as CIF:
```
data_Zn2CdTc
_cell_length_a 2.717
_cell_length_b 2.717
_cell_length_c 8.920
_cell_angle_alpha 90.00
_cell_angle_beta 90.00
_cell_angle_gamma 110.96
_space_group_name_H-M_alt 'P 1'
_space_group_IT_number 1
loop_
_space_group_symop_operation_xyz
'x,y,z'
loop_
_atom_site_label
_atom_site_fract_x
_atom_site_fract_y
_atom_site_fract_z
Zn1 0.000 0.000 0.000
Zn2 0.500 0.500 0.234
Cd1 0.500 0.500 0.732
Tc1 0.000 0.000 0.466
```

***

# 3
Entry from Alexandria via LeMat-Bulk: crystalline HgSbAu2 at its relaxed geometry (GGA-PBEsol).

Summary:
As for the excess energy over the best structure of this formula in the dataset: 0.112 eV/atom. The final energy comes out at -3.0983 eV/atom. Its space group is Cmmm, No. 65. The value obtained for the raw formation energy is 0.145 eV per atom. For the theoretical density, the calculation gives 14.324 g/cm3.

Cell and atoms, written as CIF:
```
data_HgSbAu2
_cell_length_a 3.194
_cell_length_b 3.194
_cell_length_c 9.850
_cell_angle_alpha 90.00
_cell_angle_beta 90.00
_cell_angle_gamma 124.25
_space_group_name_H-M_alt 'P 1'
_space_group_IT_number 1
loop_
_space_group_symop_operation_xyz
'x,y,z'
loop_
_atom_site_label
_atom_site_fract_x
_atom_site_fract_y
_atom_site_fract_z
Hg1 0.000 0.000 0.000
Sb1 0.000 0.000 0.500
Au1 0.500 0.500 0.245
Au2 0.500 0.500 0.755
```